# 1
A plane-wave DFT calculation with PBE was carried out for an optimized crystal structure of TcPtCl2.

a b c (Å): 3.034 4.228 5.186
angles (deg): 90.00 93.40 90.00
Fractional positions:
Tc  0.000  0.000  0.000
Pt  0.500  0.000  0.500
Cl  0.216  0.500  0.240
Cl  0.784  0.500  0.760

Properties
relative energy among the computed polymorphs = 672 meV per atom
space-group type = P2/m (10)



# 2
A plane-wave DFT calculation with PBE was carried out for an optimized crystal structure of TcPt2Cl.

a b c (Å): 4.467 4.467 4.467
angles (deg): 60.00 60.00 60.00
Fractional positions:
Tc  0.000  0.000  0.000
Pt  0.500  0.500  0.500
Pt  0.750  0.750  0.750
Cl  0.250  0.250  0.250

Properties
relative energy among the computed polymorphs = 551 meV per atom
space-group type = F-43m (216)



# 3
A plane-wave DFT calculation with PBE was carried out for an optimized crystal structure of TcPt2Cl.

a b c (Å): 8.918 8.918 8.918
angles (deg): 18.72 18.72 18.72
Fractional positions:
Tc  0.000  0.000  0.000
Pt  0.253  0.253  0.253
Pt  0.747  0.747  0.747
Cl  0.500  0.500  0.500

Properties
relative energy among the computed polymorphs = 134 meV per atom
space-group type = R-3m (166)



# 4
A plane-wave DFT calculation with PBE was carried out for an optimized crystal structure of ZrTcPt2Cl.

a b c (Å): 4.880 4.880 4.441
angles (deg): 90.00 90.00 90.00
Fractional positions:
Zr  0.000  0.000  0.000
Tc  0.500  0.500  0.500
Pt  0.000  0.500  0.500
Pt  0.500  0.000  0.500
Cl  0.500  0.500  0.000

Properties
space-group type = P4/mmm (123)



# 5
A plane-wave DFT calculation with PBE was carried out for an optimized crystal structure of TePtCl2.

a b c (Å): 10.350 10.350 10.350
angles (deg): 19.63 19.63 19.63
Fractional positions:
Te  0.000  0.000  0.000
Pt  0.500  0.500  0.500
Cl  0.215  0.215  0.215
Cl  0.785  0.785  0.785

Properties
space-group type = R-3m (166)



# 6
A plane-wave DFT calculation with PBE was carried out for an optimized crystal structure of TePtCl2.

a b c (Å): 7.431 7.431 7.431
angles (deg): 97.06 97.06 138.96
Fractional positions:
Te  0.375  0.625  0.750
Te  0.625  0.375  0.250
Pt  0.125  0.875  0.250
Pt  0.875  0.125  0.750
Cl  0.000  0.000  0.000
Cl  0.000  0.000  0.500
Cl  0.000  0.500  0.000
Cl  0.500  0.000  0.500

Properties
space-group type = I4_1/amd (141)



# 7
A plane-wave DFT calculation with PBE was carried out for an optimized crystal structure of TePtCl4.

a b c (Å): 5.704 5.704 5.704
angles (deg): 60.00 60.00 60.00
Fractional positions:
Te  0.000  0.000  0.000
Pt  0.250  0.250  0.250
Cl  0.128  0.624  0.624
Cl  0.624  0.128  0.624
Cl  0.624  0.624  0.128
Cl  0.624  0.624  0.624

Properties
space-group type = F-43m (216)



# 8
A plane-wave DFT calculation with PBE was carried out for an optimized crystal structure of TePt2Cl2.

a b c (Å): 6.832 6.832 6.832
angles (deg): 145.67 145.67 49.33
Fractional positions:
Te  0.000  0.000  0.000
Pt  0.395  0.395  0.000
Pt  0.605  0.605  0.000
Cl  0.250  0.750  0.500
Cl  0.750  0.250  0.500

Properties
relative energy among the computed polymorphs = 458 meV per atom
space-group type = I4/mmm (139)



# 9
A plane-wave DFT calculation with PBE was carried out for an optimized crystal structure of Te2PtCl.

a b c (Å): 5.125 4.668 4.668
angles (deg): 66.98 90.00 90.00
Fractional positions:
Te  0.000  0.000  0.000
Te  0.500  0.244  0.244
Pt  0.500  0.881  0.881
Cl  0.000  0.549  0.549

Properties
space-group type = Amm2 (38)



# 10
A plane-wave DFT calculation with PBE was carried out for an optimized crystal structure of TePtCl2.

a b c (Å): 3.103 4.427 5.997
angles (deg): 90.00 90.00 90.00
Fractional positions:
Te  0.000  0.000  0.000
Pt  0.000  0.000  0.500
Cl  0.500  0.500  0.257
Cl  0.500  0.500  0.743

Properties
space-group type = Pmmm (47)



# 11
A plane-wave DFT calculation with PBE was carried out for an optimized crystal structure of Te2Pt2Cl.

a b c (Å): 5.567 5.567 5.567
angles (deg): 124.09 124.09 83.06
Fractional positions:
Te  0.250  0.750  0.500
Te  0.750  0.250  0.500
Pt  0.159  0.159  0.000
Pt  0.841  0.841  0.000
Cl  0.500  0.500  0.000

Properties
relative energy among the computed polymorphs = 248 meV per atom
space-group type = I4/mmm (139)



# 12
A plane-wave DFT calculation with PBE was carried out for an optimized crystal structure of TePtCl2.

a b c (Å): 3.367 3.367 8.484
angles (deg): 90.00 90.00 90.00
Fractional positions:
Te  0.000  0.000  0.000
Pt  0.500  0.500  0.829
Cl  0.000  0.000  0.635
Cl  0.500  0.500  0.230

Properties
space-group type = P4mm (99)



# 13
A plane-wave DFT calculation with PBE was carried out for an optimized crystal structure of TePtCl2.

a b c (Å): 4.897 4.897 4.897
angles (deg): 60.00 60.00 60.00
Fractional positions:
Te  0.000  0.000  0.000
Pt  0.500  0.500  0.500
Cl  0.250  0.250  0.250
Cl  0.750  0.750  0.750

Properties
space-group type = Fm-3m (225)



# 14
A plane-wave DFT calculation with PBE was carried out for an optimized crystal structure of Te2PtCl.

a b c (Å): 3.292 4.513 6.567
angles (deg): 90.00 90.00 90.00
Fractional positions:
Te  0.000  0.000  0.000
Te  0.500  0.000  0.500
Pt  0.000  0.500  0.500
Cl  0.500  0.500  0.000

Properties
space-group type = Pmmm (47)



# 15
A plane-wave DFT calculation with PBE was carried out for an optimized crystal structure of TePtCl2.

a b c (Å): 9.554 9.554 9.554
angles (deg): 19.88 19.88 19.88
Fractional positions:
Te  0.000  0.000  0.000
Pt  0.500  0.500  0.500
Cl  0.419  0.419  0.419
Cl  0.581  0.581  0.581

Properties
space-group type = R-3m (166)



| no. | N(E_F) (states/eV/f.u.) | electronic total energy (eV/atom) | E_form (uncorrected) (eV/atom) |
| --- | --- | --- | --- |
| 1 | 3.24 | -4.47 | 0.5578 |
| 2 | 4.55 | -5.45 | 0.6186 |
| 3 | 4.90 | -5.87 | 0.2023 |
| 4 | 5.19 | -5.98 | 0.5880 |
| 5 | 2.13 | -3.00 | 0.2190 |
| 6 | 3.68 | -3.11 | 0.1083 |
| 7 | 7.73 | -1.72 | 1.0429 |
| 8 | 4.25 | -3.30 | 0.4865 |
| 9 | 2.15 | -3.61 | -0.0658 |
| 10 | 2.24 | -2.62 | 0.5966 |
| 11 | 2.70 | -4.14 | -0.0995 |
| 12 | 0.36 | -3.25 | -0.0268 |
| 13 | 2.35 | -2.52 | 0.6974 |
| 14 | 3.70 | -3.25 | 0.2898 |
| 15 | 2.15 | -3.03 | 0.1906 |